DFT (PBE) results for a relaxed KIn2NF crystal.

Results
Space-group type = P4/mmm
Formation energy from raw total energies = 0.66 eV/atom
VASP energy = -2.69 eV per atom

a b c (Å): 6.421 4.517 6.421
angles (deg): 90.00 90.00 90.00
Fractional positions:
N 0.500 0.500 0.500
K 0.000 0.000 0.000
F 0.000 0.500 0.000
In 0.000 0.000 0.500
In 0.500 0.000 0.000